[1]
Be2AlIr: relaxed, GGA-PBE.

Lattice parameters (Å, degrees): 7.6744 7.6744 7.6744 20.82 20.82 20.82
Positions (direct):
Be (0.2434, 0.2434, 0.2434)
Be (0.7566, 0.7566, 0.7566)
Al (0.0000, 0.0000, 0.0000)
Ir (0.5000, 0.5000, 0.5000)

Summary:
Magnetization   0.0 μB/f.u.
Crystal system   trigonal
E   -5.076 eV/atom



[2]
BeAlIr: relaxed, GGA-PBE.

Lattice parameters (Å, degrees): 3.8306 3.8306 3.8306 60.00 60.00 60.00
Positions (direct):
Be (0.0000, 0.0000, 0.0000)
Al (0.2500, 0.2500, 0.2500)
Ir (0.7500, 0.7500, 0.7500)

Summary:
Magnetization   0.0 μB/f.u.
Crystal system   cubic
E   -5.865 eV/atom